## HfBTeI2 (PBE)

Data for HfBTeI2 after structural relaxation.

Output
As for the raw total energy: -0.14153 Ha/atom. The formation energy (no corrections) comes out at 0.723 eV per atom. The value obtained for the magnetic moment is 0.80 μB/f.u. Its relative energy among the computed polymorphs is 0 meV/atom.

Cell and atoms, written as extended XYZ:
```
5
Lattice="5.716 0.000 0.000 0.000 5.716 0.000 0.000 0.000 5.567" Properties=species:S:1:pos:R:3 pbc="T T T"
I 0.000 2.858 0.000
I 2.858 0.000 0.000
Hf 0.000 0.000 0.000
B 2.858 2.858 2.784
Te 0.000 0.000 2.784
```

***

## HfBTeI2 (PBE)

Data for HfBTeI2 after structural relaxation.

Output
As for the raw total energy: -0.13658 Ha/atom. The formation energy (no corrections) comes out at 0.858 eV per atom. The value obtained for the magnetic moment is 0.00 μB/f.u. Its relative energy among the computed polymorphs is 135 meV/atom.

Cell and atoms, written as extended XYZ:
```
5
Lattice="4.978 0.000 0.000 0.000 4.978 0.000 0.000 0.000 4.896" Properties=species:S:1:pos:R:3 pbc="T T T"
I 0.000 2.489 0.000
I 2.489 0.000 0.000
B 0.000 0.000 0.000
Te 0.000 0.000 2.448
Hf 2.489 2.489 2.448
```

***

## Hf2VBI (PBE)

Data for Hf2VBI after structural relaxation.

Output
As for the raw total energy: -0.24392 Ha/atom. The formation energy (no corrections) comes out at 0.813 eV per atom. The value obtained for the magnetic moment is 0.00 μB/f.u.

Cell and atoms, written as extended XYZ:
```
5
Lattice="5.015 0.000 0.000 0.000 5.015 0.000 0.000 0.000 4.019" Properties=species:S:1:pos:R:3 pbc="T T T"
I 2.507 2.507 2.010
B 0.000 0.000 2.010
Hf 0.000 2.507 0.000
Hf 2.507 0.000 0.000
V 0.000 0.000 0.000
```

***

## HfZrB2I (PBE)

Data for HfZrB2I after structural relaxation.

Output
As for the raw total energy: -0.19588 Ha/atom. The formation energy (no corrections) comes out at 1.351 eV per atom. The value obtained for the magnetic moment is 0.00 μB/f.u.

Cell and atoms, written as extended XYZ:
```
5
Lattice="4.395 0.000 0.000 0.000 5.483 0.000 0.000 0.000 4.395" Properties=species:S:1:pos:R:3 pbc="T T T"
I 0.000 2.742 0.000
B 0.000 0.000 2.198
B 2.198 0.000 0.000
Hf 2.198 2.742 2.198
Zr 0.000 0.000 0.000
```

***

## HfIn2B (PBE)

Data for HfIn2B after structural relaxation.

Output
As for the raw total energy: -0.18889 Ha/atom. The energy of formation from the pure elements is 387 meV/atom. The value obtained for the magnetic moment is 0.00 μB/f.u.

Cell and atoms, written as extended XYZ:
```
8
Lattice="7.828 0.000 0.000 0.000 7.828 0.000 3.914 3.914 2.526" Properties=species:S:1:pos:R:3 pbc="T T T"
B 3.914 3.914 0.000
B 3.914 7.828 1.263
Hf 0.000 0.000 0.000
Hf 7.828 3.914 1.263
In 5.190 1.957 0.631
In 2.638 5.871 0.631
In 5.871 6.551 1.894
In 9.785 9.104 1.894
```

***

## Hf3InB (PBE)

Data for Hf3InB after structural relaxation.

Output
As for the raw total energy: -0.29300 Ha/atom. The energy of formation from the pure elements is -118 meV/atom. The value obtained for the magnetic moment is 0.00 μB/f.u.

Cell and atoms, written as extended XYZ:
```
10
Lattice="-1.492 -4.297 -0.821 6.185 -2.920 4.046 -0.629 6.586 5.714" Properties=species:S:1:pos:R:3 pbc="T T T"
B 0.275 0.426 3.789
B 3.790 -1.056 5.150
Hf 2.469 -0.207 3.098
Hf 1.595 -0.424 5.842
Hf -0.003 0.960 1.480
Hf 4.068 -1.591 7.459
Hf 0.833 2.582 4.492
Hf 3.232 -3.213 4.447
In 1.000 -1.798 1.075
In 3.064 1.167 7.864
```

***

## Hf3InB (PBE)

Data for Hf3InB after structural relaxation.

Output
As for the raw total energy: -0.29019 Ha/atom. The energy of formation from the pure elements is -41 meV/atom. The value obtained for the magnetic moment is 0.00 μB/f.u.

Cell and atoms, written as extended XYZ:
```
10
Lattice="-1.287 -18.245 4.940 0.788 -8.045 -1.241 2.560 7.715 0.896" Properties=species:S:1:pos:R:3 pbc="T T T"
B -0.010 -19.815 2.264
B 2.070 1.240 2.331
Hf 1.111 -10.653 4.383
Hf 0.950 -7.921 0.211
Hf 0.653 -15.999 5.049
Hf 1.407 -2.576 -0.455
Hf 0.687 -13.499 2.987
Hf 1.374 -5.075 1.608
In 1.249 -7.979 3.169
In 0.811 -10.596 1.425
```

***

## Hf2InB2 (PBE)

Data for Hf2InB2 after structural relaxation.

Output
As for the raw total energy: -0.27840 Ha/atom. The energy of formation from the pure elements is -376 meV/atom. The value obtained for the magnetic moment is 0.00 μB/f.u.

Cell and atoms, written as extended XYZ:
```
10
Lattice="-0.272 1.219 -6.161 -6.147 -1.315 0.012 -0.742 3.473 0.720" Properties=species:S:1:pos:R:3 pbc="T T T"
B -5.654 -0.696 -2.466
B -3.922 0.313 -5.550
B -0.766 0.600 -3.683
B -2.497 -0.409 -0.599
Hf -4.562 1.062 -0.705
Hf -5.631 1.472 -3.783
Hf -2.599 2.315 -4.724
Hf -1.530 1.905 -1.646
In 0.000 0.000 0.000
In -3.210 -0.048 -3.075
```

***

> Which formula does entry 5 have?

HfIn2B

***

> Among the records above, which one has the highest raw total energy?

number 2

***

> Among the records above, which one has the lowest raw total energy?

number 6